(1)
VASP calculation (meta-GGA SCAN) on Al2TlZn at its PBEsol-relaxed geometry.

Cell and atoms, written as extended XYZ:
```
4
Lattice="2.883 0.000 0.000 0.000 3.887 0.000 0.000 0.000 6.945" Properties=species:S:1:pos:R:3 pbc="T T T"
Tl 0.000 0.000 3.539
Zn 1.442 1.944 5.559
Al 0.000 0.000 6.865
Al 1.442 1.944 1.400
```

Computed properties:
E_tot	-25.135	eV/atom
energy relative to the lowest polymorph listed for this composition	0.000	eV/atom
SG	Pmm2
DFT formation energy	0.2092	eV/atom

=====

(2)
VASP calculation (meta-GGA SCAN) on ZrAl2Tl at its PBEsol-relaxed geometry.

Cell and atoms, written as extended XYZ:
```
4
Lattice="3.205 0.000 0.000 0.000 3.929 0.000 0.000 0.000 6.181" Properties=species:S:1:pos:R:3 pbc="T T T"
Tl 0.000 0.000 2.994
Al 0.000 0.000 0.071
Al 1.603 1.965 1.443
Zr 1.603 1.965 4.764
```

Computed properties:
E_tot	-29.761	eV/atom
energy relative to the lowest polymorph listed for this composition	0.000	eV/atom
SG	Pmm2
DFT formation energy	-0.1209	eV/atom

=====

(3)
VASP calculation (meta-GGA SCAN) on Zr2AlTl at its PBEsol-relaxed geometry.

Cell and atoms, written as extended XYZ:
```
4
Lattice="3.098 0.000 0.000 0.000 5.262 -0.003 0.000 -1.678 4.988" Properties=species:S:1:pos:R:3 pbc="T T T"
Tl 1.549 1.792 2.492
Al 1.549 0.000 0.000
Zr 0.000 2.631 -0.002
Zr 0.000 -0.839 2.494
```

Computed properties:
E_tot	-35.729	eV/atom
SG	Cmmm
DFT formation energy	-0.3520	eV/atom

=====

(4)
VASP calculation (meta-GGA SCAN) on Zr2AlTl at its PBEsol-relaxed geometry.

Cell and atoms, written as extended XYZ:
```
4
Lattice="-0.959 -1.996 2.152 1.941 -3.180 -2.084 5.130 1.016 3.229" Properties=species:S:1:pos:R:3 pbc="T T T"
Tl 3.056 -2.080 1.648
Al 0.491 -2.588 0.034
Zr 3.894 0.771 2.451
Zr 1.236 0.245 0.778
```

Computed properties:
E_tot	-35.738	eV/atom
SG	Pmmm
DFT formation energy	-0.3606	eV/atom